First-principles (PBE-GGA) data for an optimized crystal structure of Mo2RuPb, as listed in Alexandria via LeMat-Bulk.

a = 2.9616 Å, b = 4.1983 Å, c = 5.6003 Å
α = 90.00°, β = 90.00°, γ = 90.00°
Closest atoms and distances in Å follow each position.
Positions (direct):
Mo 0.0017 0.0000 0.2124  1 Mo 2.38
Mo 0.9983 0.0000 0.7876  1 Mo 2.38
Ru 0.5000 0.5000 0.0000  2 Pb 2.80, 8 Mo 2.83, 2 Ru 2.96
Pb 0.5000 0.5000 0.5000  2 Ru 2.80, 2 Pb 2.96, 8 Mo 3.03

Computed properties:
Space-group type: P2/m (10)
DFT total energy (eV per atom): -8.2001
Crystal system: monoclinic
Energy of formation from the pure elements (eV per atom): 0.462
DOS(E_F) (states/eV/atom): 0.877

First-principles (PBE-GGA) data for an optimized crystal structure of Mo2RuPb, as listed in Alexandria via LeMat-Bulk.

a = 5.3342 Å, b = 5.3342 Å, c = 5.3342 Å
α = 140.92°, β = 134.27°, γ = 61.68°
Closest atoms and distances in Å follow each position.
Positions (direct):
Mo 0.2474 0.2474 0.0000  4 Mo 2.74, 2 Ru 2.88, 2 Pb 2.92
Mo 0.7526 0.7526 0.0000  4 Mo 2.74, 2 Ru 2.88, 2 Pb 2.92
Ru 0.0000 0.5000 0.5000  4 Pb 2.73, 4 Mo 2.88
Pb 0.5000 0.0000 0.5000  4 Ru 2.73, 4 Mo 2.92

Computed properties:
Space-group type: Immm (71)
DFT total energy (eV per atom): -8.2200
Crystal system: orthorhombic
Energy of formation from the pure elements (eV per atom): 0.442
DOS(E_F) (states/eV/atom): 0.701

First-principles (PBE-GGA) data for an optimized crystal structure of Mo2RuPb, as listed in Alexandria via LeMat-Bulk.

a = 2.9522 Å, b = 4.0930 Å, c = 5.8388 Å
α = 90.00°, β = 91.25°, γ = 90.00°
Closest atoms and distances in Å follow each position.
Positions (direct):
Mo 0.0000 0.0000 0.0000  1 Ru 2.54, 2 Mo 2.62
Mo 0.3679 0.5000 0.2127  2 Mo 2.62, 4 Ru 2.79-2.87, 1 Pb 2.88
Ru 0.9041 0.0000 0.4307  3 Mo 2.54-2.79
Pb 0.4389 0.5000 0.7060  6 Mo 2.88-3.12, 2 Pb 2.95, 4 Ru 2.96-3.03

Computed properties:
Space-group type: Pm (6)
DFT total energy (eV per atom): -8.1655
Crystal system: monoclinic
Energy of formation from the pure elements (eV per atom): 0.496
DOS(E_F) (states/eV/atom): 0.947

First-principles (PBE-GGA) data for an optimized crystal structure of Mo2RuPb, as listed in Alexandria via LeMat-Bulk.

a = 7.2391 Å, b = 7.2391 Å, c = 7.2391 Å
α = 131.67°, β = 131.67°, γ = 70.75°
Closest atoms and distances in Å follow each position.
Positions (direct):
Mo 0.0724 0.6250 0.9474  2 Ru 2.40
Mo 0.3750 0.3224 0.4474  2 Ru 2.40
Mo 0.6776 0.1250 0.0526  2 Ru 2.40
Mo 0.8750 0.9276 0.5526  2 Ru 2.40
Ru 0.0000 0.0000 0.0000  4 Mo 2.40
Ru 0.7500 0.2500 0.5000  4 Mo 2.40
Pb 0.2500 0.7500 0.5000  4 Mo 2.76
Pb 0.5000 0.5000 0.0000  4 Mo 2.76

Computed properties:
Space-group type: I-42d (122)
DFT total energy (eV per atom): -7.0585
Crystal system: tetragonal
Energy of formation from the pure elements (eV per atom): 1.603
DOS(E_F) (states/eV/atom): 0.997